#1
Compound: ScPa2Se5
Source: Alexandria
Functional: PBE
Structure: relaxed

```
ScPa2Se5
1.0
-0.0140 -4.5033 0.7346
6.6120 -0.2886 -1.6435
1.6685 1.0594 6.5266
Sc Pa Se
1 2 5
Direct
0.0000 0.0000 0.0000
0.5000 0.5000 0.0000
0.5000 0.0000 0.5000
0.0000 0.7265 0.7265
0.0000 0.2735 0.7265
0.0000 0.7265 0.2735
0.5000 0.0000 0.0000
0.0000 0.2735 0.2735
```

Crystal system: tetragonal
Total magnetic moment, μB per formula unit: 3.1
Density of states at the Fermi level, states/eV per cell: 12.43

=====

#2
Compound: ScPa2Se5
Source: Alexandria
Functional: PBE
Structure: relaxed

```
ScPa2Se5
1.0
-5.3083 -1.6121 0.9213
2.6854 -2.4408 -5.9618
4.3974 -10.8167 6.4092
Sc Pa Se
2 4 10
Direct
0.7840 0.5680 0.7500
0.2160 0.4320 0.2500
0.8441 0.6883 0.4429
0.8441 0.6883 0.0571
0.1559 0.3117 0.5571
0.1559 0.3117 0.9429
0.9500 0.9000 0.8740
0.9500 0.9000 0.6260
0.3387 0.6773 0.4236
0.3387 0.6773 0.0764
0.7426 0.4853 0.2500
0.2574 0.5147 0.7500
0.6613 0.3227 0.5764
0.6613 0.3227 0.9236
0.0500 0.1000 0.1260
0.0500 0.1000 0.3740
```

Crystal system: orthorhombic
Total magnetic moment, μB per formula unit: 2.2
Density of states at the Fermi level, states/eV per cell: 18.52

=====

Stability check: which of them is most stable? #2.

=====

#1
Compound: ScPaSi4
Source: Alexandria
Functional: PBE
Structure: relaxed

```
ScPaSi4
1.0
5.2140 0.0000 0.0000
2.6070 4.5155 0.0000
2.6070 1.5052 4.2572
Sc Si Pa
1 4 1
Direct
0.2500 0.2500 0.2500
0.6221 0.6221 0.1338
0.6221 0.1338 0.6221
0.6221 0.6221 0.6221
0.1338 0.6221 0.6221
0.0000 0.0000 0.0000
```

Crystal system: cubic
Total magnetic moment, μB per formula unit: 0.0
Density of states at the Fermi level, states/eV per cell: 6.73

=====

#2
Compound: ScPaSi4
Source: Alexandria
Functional: PBE
Structure: relaxed

```
ScPaSi4
1.0
-3.5595 0.4702 -1.1896
-0.6951 -6.8898 -0.6434
-5.2469 -0.9034 15.3422
Sc Pa Si
4 4 16
Direct
0.0000 0.7499 0.0603
0.0000 0.2501 0.9397
0.0000 0.2499 0.4397
0.0000 0.7501 0.5603
0.0000 0.7498 0.3134
0.0000 0.2502 0.6866
0.0000 0.2498 0.1866
0.0000 0.7502 0.8134
0.5000 0.9162 0.1869
0.5000 0.0838 0.8131
0.5000 0.4162 0.3131
0.5000 0.5838 0.6869
0.5000 0.0817 0.0614
0.5000 0.9183 0.9386
0.5000 0.5817 0.4386
0.5000 0.4183 0.5614
0.5000 0.9182 0.4386
0.5000 0.0818 0.5614
0.5000 0.4182 0.0614
0.5000 0.5818 0.9386
0.5000 0.0834 0.3131
0.5000 0.9166 0.6869
0.5000 0.5834 0.1869
0.5000 0.4166 0.8131
```

Crystal system: orthorhombic
Total magnetic moment, μB per formula unit: 0.0
Density of states at the Fermi level, states/eV per cell: 13.69

=====

Stability check: which of them is most stable? #2.

=====

#1
Compound: ScPaSi2
Source: Alexandria
Functional: PBE
Structure: relaxed

```
ScPaSi2
1.0
3.8333 0.0000 0.0000
0.0000 5.5107 0.0000
0.0000 0.0000 7.6085
Sc Pa Si
2 2 4
Direct
0.0000 0.1318 0.6798
0.0000 0.8682 0.1798
0.5000 0.3698 0.3196
0.5000 0.6302 0.8196
0.0000 0.6149 0.5397
0.0000 0.3851 0.0397
0.5000 0.8801 0.4609
0.5000 0.1199 0.9609
```

Crystal system: orthorhombic
Total magnetic moment, μB per formula unit: 0.0
Density of states at the Fermi level, states/eV per cell: 8.93

=====

#2
Compound: ScPaSi2
Source: Alexandria
Functional: PBE
Structure: relaxed

```
ScPaSi2
1.0
-1.5786 -1.6460 3.7951
-2.6052 -3.5797 -0.0534
2.4802 -4.5676 1.6334
Sc Si Pa
1 2 1
Direct
0.0000 0.0000 0.0000
0.7376 0.7376 0.7872
0.2624 0.2624 0.2128
0.5000 0.5000 0.5000
```

Crystal system: trigonal
Total magnetic moment, μB per formula unit: 0.0
Density of states at the Fermi level, states/eV per cell: 3.31

=====

Stability check: which of them is most stable? #1.

=====

#1
Compound: SmScPa
Source: Alexandria
Functional: PBE
Structure: relaxed

```
SmScPa
1.0
3.3116 0.0000 0.0000
0.0000 3.3116 0.0000
-1.6558 -1.6558 7.4784
Sc Pa Sm
1 1 1
Direct
0.6063 0.6063 0.2126
0.9551 0.9551 0.9102
0.2886 0.2886 0.5772
```

Crystal system: tetragonal
Total magnetic moment, μB per formula unit: 0.0
Density of states at the Fermi level, states/eV per cell: 5.41

=====

#2
Compound: SmScPa
Source: Alexandria
Functional: PBE
Structure: relaxed

```
SmScPa
1.0
-2.3200 -3.0330 -3.3085
-2.8359 -3.8413 1.6522
-8.4222 2.7082 -0.4346
Sc Sm Pa
2 2 2
Direct
0.4403 0.4403 0.6791
0.5597 0.5597 0.3209
0.2911 0.2911 0.1268
0.7089 0.7089 0.8732
0.1609 0.1609 0.5174
0.8391 0.8391 0.4826
```

Crystal system: trigonal
Total magnetic moment, μB per formula unit: 0.0
Density of states at the Fermi level, states/eV per cell: 12.90

=====

Stability check: which of them is most stable? #1.

=====

#1
Compound: Sm2ScPa
Source: Alexandria
Functional: PBE
Structure: relaxed

```
Sm2ScPa
1.0
3.3048 0.0000 0.0000
1.6524 2.8621 0.0000
1.6524 0.9540 12.0720
Sc Pa Sm
1 1 2
Direct
0.5000 0.5000 0.5000
0.0000 0.0000 0.0000
0.0887 0.0887 0.7338
0.9113 0.9113 0.2662
```

Crystal system: trigonal
Total magnetic moment, μB per formula unit: 0.0
Density of states at the Fermi level, states/eV per cell: 6.12

=====

#2
Compound: Sm2ScPa
Source: Alexandria
Functional: PBE
Structure: relaxed

```
Sm2ScPa
1.0
3.3775 0.0000 0.0000
0.0000 3.3775 0.0000
0.0000 0.0000 10.0871
Sc Pa Sm
1 1 2
Direct
0.5000 0.5000 0.0000
0.5000 0.5000 0.5000
0.0000 0.0000 0.7443
0.0000 0.0000 0.2557
```

Crystal system: tetragonal
Total magnetic moment, μB per formula unit: 0.0
Density of states at the Fermi level, states/eV per cell: 7.46

=====

Stability check: which of them is most stable? #2.

=====

#1
Compound: ScPa2Sn
Source: Alexandria
Functional: PBE
Structure: relaxed

```
ScPa2Sn
1.0
5.0369 0.0000 0.0000
0.0000 4.3524 0.0000
0.0000 0.0000 4.3524
Sc Pa Sn
1 2 1
Direct
0.5000 0.0000 0.0000
0.0000 0.0000 0.5000
0.0000 0.5000 0.0000
0.5000 0.5000 0.5000
```

Crystal system: tetragonal
Total magnetic moment, μB per formula unit: 0.0
Density of states at the Fermi level, states/eV per cell: 5.42

=====

#2
Compound: ScPa2Sn
Source: Alexandria
Functional: PBE
Structure: relaxed

```
ScPa2Sn
1.0
3.1903 0.0000 0.0000
1.5951 2.7629 0.0000
1.5951 0.9210 11.8699
Sc Pa Sn
1 2 1
Direct
0.5000 0.5000 0.5000
0.0894 0.0894 0.7318
0.9106 0.9106 0.2682
0.0000 0.0000 0.0000
```

Crystal system: trigonal
Total magnetic moment, μB per formula unit: 0.0
Density of states at the Fermi level, states/eV per cell: 8.79

=====

Stability check: which of them is most stable? #1.